PBE UBeZn2O6, optimized geometry; formation energy without anion corrections = -1.76 eV per atom; size of the total moment = 0.05 μB/f.u.
1.0
5.272 0.000 0.000
0.000 5.272 0.000
0.000 0.000 4.480
U Be Zn O
1 1 2 6
Direct
0.000 0.000 0.000
0.500 0.500 0.941
0.000 0.500 0.339
0.500 0.000 0.339
0.000 0.000 0.519
0.267 0.267 0.079
0.267 0.733 0.079
0.500 0.500 0.594
0.733 0.267 0.079
0.733 0.733 0.079